Compound: MgAlZn
Source: Alexandria
Functional: GGA-PBEsol
Structure: optimized geometry

POSCAR file:
```
MgAlZn
1.0
-2.7199 -1.2590 0.6666
2.0485 -3.2379 2.2433
-1.2120 3.7251 2.0898
Mg Zn Al
1 1 1
Cartesian
-0.8510 -1.7559 2.6363
-0.5779 1.1946 2.2519
-0.4547 -0.2104 0.1114
```

Offset from the most stable computed form ... 0 meV per atom
Volume ... 52.4 Å³ per cell
Density ... 3.70 g/cm³
Formation energy from the elements ... -0.02 eV/atom

***

Compound: MgAlZn4
Source: Alexandria
Functional: GGA-PBEsol
Structure: optimized geometry

POSCAR file:
```
MgAlZn4
1.0
-2.0335 3.4751 -3.1389
-5.0716 0.4793 -0.3356
-2.3059 4.1320 1.9166
Mg Zn Al
1 4 1
Cartesian
0.0000 0.0000 0.0000
-3.5278 3.0312 -0.5840
-4.6820 5.0995 0.3754
-4.5457 4.7707 -2.1552
-6.0665 3.2711 -0.7519
-7.0582 6.0647 -1.1684
```

Volume ... 94.1 Å³ per cell
Density ... 5.52 g/cm³
Formation energy from the elements ... -0.01 eV/atom